# KOsRh2 PBE-GGA optimized geometry
# Energy of formation from the pure elements = 670.6 meV/atom
# Energy above the lowest structure with this stoichiometry = 231.5 meV per atom
# Total magnetization = 0.8 μB/f.u.
data_KOsRh2
_symmetry_space_group_name_H-M 'P m m 2'
_symmetry_Int_Tables_number 25
_cell_length_a 2.6823
_cell_length_b 3.9717
_cell_length_c 7.5799
_cell_angle_alpha 90.00
_cell_angle_beta 90.00
_cell_angle_gamma 90.00
loop_
_symmetry_equiv_pos_as_xyz
'x,y,z'
'-x,-y,z'
'-x,y,z'
'x,-y,z'
loop_
_atom_site_label
_atom_site_type_symbol
_atom_site_fract_x
_atom_site_fract_y
_atom_site_fract_z
K1 K 0.0000 0.0000 0.0000
Os1 Os 0.5000 0.5000 0.3502
Rh1 Rh 0.0000 0.0000 0.4847
Rh2 Rh 0.5000 0.5000 0.6796



# LaHoP2O8 PBE-GGA optimized geometry
# Total magnetization = 0.0 μB/f.u.
# Formation energy from raw total energies = -2.953 eV per atom
data_LaHoP2O8
_symmetry_space_group_name_H-M 'P -3 m 1'
_symmetry_Int_Tables_number 164
_symmetry_space_group_name_Hall '-P 3 2"'
_cell_length_a 5.2819
_cell_length_b 5.2819
_cell_length_c 7.2326
_cell_angle_alpha 90.00
_cell_angle_beta 90.00
_cell_angle_gamma 120.00
loop_
_atom_site_label
_atom_site_type_symbol
_atom_site_fract_x
_atom_site_fract_y
_atom_site_fract_z
La1 La 0.0000 0.0000 0.0000
Ho1 Ho 0.0000 0.0000 0.5000
P1 P 0.3333 0.6667 0.7892
O1 O 0.1738 0.3475 0.7157
O2 O 0.3333 0.6667 0.0008



# TaAl2Os PBE-GGA optimized geometry
# Energy of formation from the pure elements = -138.6 meV/atom
# Energy above the lowest structure with this stoichiometry = 246.9 meV per atom
# Total magnetization = 0.0 μB/f.u.
data_TaAl2Os
_symmetry_space_group_name_H-M 'I 4/m m m'
_symmetry_Int_Tables_number 139
_symmetry_space_group_name_Hall '-I 4 2'
_cell_length_a 3.9072
_cell_length_b 3.9072
_cell_length_c 8.1219
_cell_angle_alpha 90.00
_cell_angle_beta 90.00
_cell_angle_gamma 90.00
loop_
_atom_site_label
_atom_site_type_symbol
_atom_site_fract_x
_atom_site_fract_y
_atom_site_fract_z
Ta1 Ta 0.0000 0.0000 0.0000
Al1 Al 0.0000 0.5000 0.2500
Os1 Os 0.0000 0.0000 0.5000



# CsYMnS3 PBE-GGA optimized geometry
# Total magnetization = 5.0 μB/f.u.
# Formation energy from raw total energies = -1.425 eV per atom
data_CsYMnS3
_symmetry_space_group_name_H-M 'P 1 21/m 1'
_symmetry_Int_Tables_number 11
_cell_length_a 9.3542
_cell_length_b 4.1162
_cell_length_c 9.9515
_cell_angle_alpha 90.00
_cell_angle_beta 111.05
_cell_angle_gamma 90.00
loop_
_symmetry_equiv_pos_as_xyz
'x,y,z'
'-x,-y,-z'
'-x,y+1/2,-z'
'x,-y+1/2,z'
loop_
_atom_site_label
_atom_site_type_symbol
_atom_site_fract_x
_atom_site_fract_y
_atom_site_fract_z
Cs1 Cs 0.2165 0.2500 0.2417
Y1 Y 0.3346 0.7500 0.8624
Mn1 Mn 0.0862 0.2500 0.6132
S1 S 0.1298 0.2500 0.8581
S2 S 0.1884 0.7500 0.5483
S3 S 0.4762 0.7500 0.1510



# BaPm2PrSe4 PBE-GGA optimized geometry
# Total magnetization = 0.0 μB/f.u.
# Formation energy from raw total energies = -1.848 eV per atom
data_BaPm2PrSe4
_symmetry_space_group_name_H-M 'P 1 2/m 1'
_symmetry_Int_Tables_number 10
_cell_length_a 7.5065
_cell_length_b 4.2822
_cell_length_c 7.5307
_cell_angle_alpha 90.00
_cell_angle_beta 108.84
_cell_angle_gamma 90.00
loop_
_symmetry_equiv_pos_as_xyz
'x,y,z'
'-x,-y,-z'
'-x,y,-z'
'x,-y,z'
loop_
_atom_site_label
_atom_site_type_symbol
_atom_site_fract_x
_atom_site_fract_y
_atom_site_fract_z
Ba1 Ba 0.0000 0.0000 0.0000
Pm1 Pm 0.0000 0.5000 0.5000
Pm2 Pm 0.5000 0.0000 0.5000
Pr1 Pr 0.5000 0.5000 0.0000
Se1 Se 0.2545 0.0000 0.7373
Se2 Se 0.2662 0.5000 0.2704



# RbDyY4Se8 PBE-GGA optimized geometry
# Total magnetization = 0.0 μB/f.u.
# Formation energy from raw total energies = -1.730 eV per atom
data_RbDyY4Se8
_symmetry_space_group_name_H-M 'R 3 m'
_symmetry_Int_Tables_number 160
_symmetry_space_group_name_Hall 'R 3 -2"'
_cell_length_a 8.6499
_cell_length_b 8.6499
_cell_length_c 21.1585
_cell_angle_alpha 90.00
_cell_angle_beta 90.00
_cell_angle_gamma 120.00
loop_
_atom_site_label
_atom_site_type_symbol
_atom_site_fract_x
_atom_site_fract_y
_atom_site_fract_z
Rb1 Rb 0.0000 0.0000 0.0000
Dy1 Dy 0.0000 0.0000 0.6294
Y1 Y 0.0000 0.0000 0.2495
Y2 Y 0.1730 0.3461 0.4564
Se1 Se 0.0000 0.0000 0.3820
Se2 Se 0.0000 0.0000 0.8571
Se3 Se 0.0477 0.5238 0.3803
Se4 Se 0.1765 0.3531 0.2055



# TiCoB3 PBE-GGA optimized geometry
# Energy of formation from the pure elements = 1840.3 meV/atom
# Total magnetization = 0.0 μB/f.u.
data_TiCoB3
_symmetry_space_group_name_H-M 'P m -3 m'
_symmetry_Int_Tables_number 221
_symmetry_space_group_name_Hall '-P 4 2 3'
_cell_length_a 3.9637
_cell_length_b 3.9637
_cell_length_c 3.9637
_cell_angle_alpha 90.00
_cell_angle_beta 90.00
_cell_angle_gamma 90.00
loop_
_atom_site_label
_atom_site_type_symbol
_atom_site_fract_x
_atom_site_fract_y
_atom_site_fract_z
Ti1 Ti 0.0000 0.0000 0.0000
Co1 Co 0.5000 0.5000 0.5000
B1 B 0.0000 0.0000 0.5000



# MgZnTcOs PBE-GGA optimized geometry
# Energy of formation from the pure elements = 84.9 meV/atom
# Total magnetization = 0.0 μB/f.u.
data_MgZnTcOs
_symmetry_space_group_name_H-M 'F -4 3 m'
_symmetry_Int_Tables_number 216
_symmetry_space_group_name_Hall 'F -4 2 3'
_cell_length_a 6.1749
_cell_length_b 6.1749
_cell_length_c 6.1749
_cell_angle_alpha 90.00
_cell_angle_beta 90.00
_cell_angle_gamma 90.00
loop_
_atom_site_label
_atom_site_type_symbol
_atom_site_fract_x
_atom_site_fract_y
_atom_site_fract_z
Mg1 Mg 0.0000 0.0000 0.0000
Zn1 Zn 0.2500 0.2500 0.7500
Tc1 Tc 0.0000 0.0000 0.5000
Os1 Os 0.2500 0.2500 0.2500



# LaW2Cl PBE-GGA optimized geometry
# Energy above the lowest structure with this stoichiometry = 309.0 meV per atom
# Total magnetization = 0.0 μB/f.u.
# Formation energy from raw total energies = 0.272 eV per atom
data_LaW2Cl
_symmetry_space_group_name_H-M 'P m m 2'
_symmetry_Int_Tables_number 25
_cell_length_a 3.1831
_cell_length_b 4.4188
_cell_length_c 6.1863
_cell_angle_alpha 90.00
_cell_angle_beta 90.00
_cell_angle_gamma 90.00
loop_
_symmetry_equiv_pos_as_xyz
'x,y,z'
'-x,-y,z'
'-x,y,z'
'x,-y,z'
loop_
_atom_site_label
_atom_site_type_symbol
_atom_site_fract_x
_atom_site_fract_y
_atom_site_fract_z
La1 La 0.0000 0.0000 0.0000
W1 W 0.0000 0.0000 0.4852
W2 W 0.5000 0.5000 0.5253
Cl1 Cl 0.5000 0.5000 0.9152



# CaFeSe PBE-GGA optimized geometry
# Energy above the lowest structure with this stoichiometry = 0.0 meV per atom
# Total magnetization = 2.0 μB/f.u.
# Formation energy from raw total energies = -0.575 eV per atom
data_CaFeSe
_symmetry_space_group_name_H-M 'P -6 m 2'
_symmetry_Int_Tables_number 187
_symmetry_space_group_name_Hall 'P -6 2'
_cell_length_a 4.1167
_cell_length_b 4.1167
_cell_length_c 4.0954
_cell_angle_alpha 90.00
_cell_angle_beta 90.00
_cell_angle_gamma 120.00
loop_
_atom_site_label
_atom_site_type_symbol
_atom_site_fract_x
_atom_site_fract_y
_atom_site_fract_z
Ca1 Ca 0.0000 0.0000 0.0000
Fe1 Fe 0.6667 0.3333 0.5000
Se1 Se 0.3333 0.6667 0.5000



# Pr6Pd5Rh PBE-GGA optimized geometry
# Energy of formation from the pure elements = -644.7 meV/atom
# Energy above the lowest structure with this stoichiometry = 55.5 meV per atom
# Total magnetization = 0.0 μB/f.u.
data_Pr6Pd5Rh
_symmetry_space_group_name_H-M 'C 1 2/m 1'
_symmetry_Int_Tables_number 12
_cell_length_a 7.3073
_cell_length_b 12.6837
_cell_length_c 7.3129
_cell_angle_alpha 90.00
_cell_angle_beta 109.52
_cell_angle_gamma 90.00
loop_
_symmetry_equiv_pos_as_xyz
'x,y,z'
'-x,-y,-z'
'-x,y,-z'
'x,-y,z'
'x+1/2,y+1/2,z'
'-x+1/2,-y+1/2,-z'
'-x+1/2,y+1/2,-z'
'x+1/2,-y+1/2,z'
loop_
_atom_site_label
_atom_site_type_symbol
_atom_site_fract_x
_atom_site_fract_y
_atom_site_fract_z
Pr1 Pr 0.2414 0.0000 0.2508
Pr2 Pr 0.2430 0.1624 0.7430
Pd1 Pd 0.0000 0.1715 0.0000
Pd2 Pd 0.0000 0.3345 0.5000
Pd3 Pd 0.0000 0.5000 0.0000
Rh1 Rh 0.0000 0.0000 0.5000



# PmCo6 PBE-GGA optimized geometry
# Energy of formation from the pure elements = 487.7 meV/atom
# Energy above the lowest structure with this stoichiometry = 486.8 meV per atom
# Total magnetization = 0.4 μB/f.u.
data_PmCo6
_symmetry_space_group_name_H-M 'I m -3 m'
_symmetry_Int_Tables_number 229
_symmetry_space_group_name_Hall '-I 4 2 3'
_cell_length_a 6.0532
_cell_length_b 6.0532
_cell_length_c 6.0532
_cell_angle_alpha 90.00
_cell_angle_beta 90.00
_cell_angle_gamma 90.00
loop_
_atom_site_label
_atom_site_type_symbol
_atom_site_fract_x
_atom_site_fract_y
_atom_site_fract_z
Pm1 Pm 0.0000 0.0000 0.0000
Co1 Co 0.0000 0.2500 0.5000



# La2NdSc PBE-GGA optimized geometry
# Energy of formation from the pure elements = 51.3 meV/atom
# Energy above the lowest structure with this stoichiometry = 13.4 meV per atom
# Total magnetization = 0.0 μB/f.u.
data_La2NdSc
_symmetry_space_group_name_H-M 'R -3 m'
_symmetry_Int_Tables_number 166
_symmetry_space_group_name_Hall '-R 3 2"'
_cell_length_a 3.6255
_cell_length_b 3.6255
_cell_length_c 34.7055
_cell_angle_alpha 90.00
_cell_angle_beta 90.00
_cell_angle_gamma 120.00
loop_
_atom_site_label
_atom_site_type_symbol
_atom_site_fract_x
_atom_site_fract_y
_atom_site_fract_z
La1 La 0.0000 0.0000 0.2453
Nd1 Nd 0.0000 0.0000 0.0000
Sc1 Sc 0.0000 0.0000 0.5000



# SiSCl PBE-GGA optimized geometry
# Energy above the lowest structure with this stoichiometry = 0.0 meV per atom
# Total magnetization = 0.0 μB/f.u.
# Formation energy from raw total energies = -0.832 eV per atom
data_SiSCl
_symmetry_space_group_name_H-M 'P -1'
_symmetry_Int_Tables_number 2
_cell_length_a 4.5769
_cell_length_b 6.7772
_cell_length_c 6.8532
_cell_angle_alpha 75.91
_cell_angle_beta 84.83
_cell_angle_gamma 77.54
loop_
_symmetry_equiv_pos_as_xyz
'x,y,z'
'-x,-y,-z'
loop_
_atom_site_label
_atom_site_type_symbol
_atom_site_fract_x
_atom_site_fract_y
_atom_site_fract_z
Si1 Si 0.2335 0.4424 0.0768
S1 S 0.4227 0.6948 0.1137
Cl1 Cl 0.1676 0.2390 0.3462



# YS2F PBE-GGA optimized geometry
# Energy above the lowest structure with this stoichiometry = 0.0 meV per atom
# Total magnetization = 0.0 μB/f.u.
# Formation energy from raw total energies = -1.464 eV per atom
data_YS2F
_symmetry_space_group_name_H-M 'I -4 2 d'
_symmetry_Int_Tables_number 122
_symmetry_space_group_name_Hall 'I -4 2bw'
_cell_length_a 3.6793
_cell_length_b 3.6793
_cell_length_c 20.1104
_cell_angle_alpha 90.00
_cell_angle_beta 90.00
_cell_angle_gamma 90.00
loop_
_atom_site_label
_atom_site_type_symbol
_atom_site_fract_x
_atom_site_fract_y
_atom_site_fract_z
Y1 Y 0.0000 0.0000 0.0000
S1 S 0.2474 0.2500 0.1250
F1 F 0.0000 0.0000 0.5000



# In8Mo PBE-GGA optimized geometry
# Energy of formation from the pure elements = 244.9 meV/atom
# Total magnetization = 0.0 μB/f.u.
data_In8Mo
_symmetry_space_group_name_H-M 'I 4/m m m'
_symmetry_Int_Tables_number 139
_symmetry_space_group_name_Hall '-I 4 2'
_cell_length_a 10.5093
_cell_length_b 10.5093
_cell_length_c 3.9708
_cell_angle_alpha 90.00
_cell_angle_beta 90.00
_cell_angle_gamma 90.00
loop_
_atom_site_label
_atom_site_type_symbol
_atom_site_fract_x
_atom_site_fract_y
_atom_site_fract_z
In1 In 0.0000 0.3267 0.0000
In2 In 0.1510 0.1510 0.5000
Mo1 Mo 0.0000 0.0000 0.0000



# Nd2Dy3Os2 PBE-GGA optimized geometry
# Energy of formation from the pure elements = -183.4 meV/atom
# Total magnetization = 0.0 μB/f.u.
data_Nd2Dy3Os2
_symmetry_space_group_name_H-M 'C 1 2/m 1'
_symmetry_Int_Tables_number 12
_cell_length_a 12.1097
_cell_length_b 3.9686
_cell_length_c 8.6308
_cell_angle_alpha 90.00
_cell_angle_beta 114.46
_cell_angle_gamma 90.00
loop_
_symmetry_equiv_pos_as_xyz
'x,y,z'
'-x,-y,-z'
'-x,y,-z'
'x,-y,z'
'x+1/2,y+1/2,z'
'-x+1/2,-y+1/2,-z'
'-x+1/2,y+1/2,-z'
'x+1/2,-y+1/2,z'
loop_
_atom_site_label
_atom_site_type_symbol
_atom_site_fract_x
_atom_site_fract_y
_atom_site_fract_z
Nd1 Nd 0.1623 0.0000 0.3037
Dy1 Dy 0.0000 0.5000 0.5000
Dy2 Dy 0.1255 0.5000 0.9262
Os1 Os 0.1756 0.0000 0.7233



# Li2SiGe PBE-GGA optimized geometry
# Energy above the lowest structure with this stoichiometry = 172.1 meV per atom
# Total magnetization = 0.0 μB/f.u.
# Formation energy from raw total energies = -0.057 eV per atom
data_Li2SiGe
_symmetry_space_group_name_H-M 'R -3 m'
_symmetry_Int_Tables_number 166
_symmetry_space_group_name_Hall '-R 3 2"'
_cell_length_a 2.8485
_cell_length_b 2.8485
_cell_length_c 26.4305
_cell_angle_alpha 90.00
_cell_angle_beta 90.00
_cell_angle_gamma 120.00
loop_
_atom_site_label
_atom_site_type_symbol
_atom_site_fract_x
_atom_site_fract_y
_atom_site_fract_z
Li1 Li 0.0000 0.0000 0.2483
Si1 Si 0.0000 0.0000 0.5000
Ge1 Ge 0.0000 0.0000 0.0000



# AlAuO2 PBE-GGA optimized geometry
# Total magnetization = 0.0 μB/f.u.
# Formation energy from raw total energies = -0.509 eV per atom
data_AlAuO2
_symmetry_space_group_name_H-M 'R -3 m'
_symmetry_Int_Tables_number 166
_symmetry_space_group_name_Hall '-R 3 2"'
_cell_length_a 3.7925
_cell_length_b 3.7925
_cell_length_c 16.2125
_cell_angle_alpha 90.00
_cell_angle_beta 90.00
_cell_angle_gamma 120.00
loop_
_atom_site_label
_atom_site_type_symbol
_atom_site_fract_x
_atom_site_fract_y
_atom_site_fract_z
Al1 Al 0.0000 0.0000 0.0000
Au1 Au 0.0000 0.0000 0.5000
O1 O 0.0000 0.0000 0.1039



# NdDyBr PBE-GGA optimized geometry
# Energy above the lowest structure with this stoichiometry = 292.1 meV per atom
# Total magnetization = 0.0 μB/f.u.
# Formation energy from raw total energies = -0.452 eV per atom
data_NdDyBr
_symmetry_space_group_name_H-M 'R -3 m'
_symmetry_Int_Tables_number 166
_symmetry_space_group_name_Hall '-R 3 2"'
_cell_length_a 5.7034
_cell_length_b 5.7034
_cell_length_c 23.8946
_cell_angle_alpha 90.00
_cell_angle_beta 90.00
_cell_angle_gamma 120.00
loop_
_atom_site_label
_atom_site_type_symbol
_atom_site_fract_x
_atom_site_fract_y
_atom_site_fract_z
Nd1 Nd 0.0000 0.0000 0.0724
Dy1 Dy 0.0000 0.0000 0.3223
Br1 Br 0.0000 0.0000 0.2025